(1)
Entry from Alexandria via LeMat-Bulk: a relaxed MnZnPt crystal (PBE).

a = 4.251 Å, b = 4.251 Å, c = 4.251 Å
α = 60.00°, β = 60.00°, γ = 60.00°
Last column: magnetic moment on the atom in μB.
Sites, in units of the cell vectors:
Pt 0.750 0.750 0.750  0.18
Zn 0.000 0.000 0.000  -0.01
Mn 0.500 0.500 0.500  3.92

Calculated values
- D(E_F) (states/eV/cell) = 1.05
- magnetization (μB per formula unit) = 4.3
- formation energy from the elements (meV/atom) = -141
- symmetry = F-43m, No. 216

***

(2)
Entry from Alexandria via LeMat-Bulk: a relaxed Mn3ZnPt crystal (PBE).

a = 4.902 Å, b = 4.902 Å, c = 4.902 Å
α = 90.00°, β = 90.00°, γ = 90.00°
Last column: magnetic moment on the atom in μB.
Sites, in units of the cell vectors:
Pt 0.000 0.000 0.000  0.38
Mn 0.500 0.000 0.000  4.09
Mn 0.000 0.000 0.500  4.16
Mn 0.000 0.500 0.000  4.14
Zn 0.500 0.500 0.500  0.00

Calculated values
- distance to the lowest polymorph of the same formula (eV/f.u.) = 0.000
- D(E_F) (states/eV/cell) = 2.67
- magnetization (μB per formula unit) = 13.6
- formation energy from the elements (meV/atom) = 778
- symmetry = Pm-3m, No. 221

***

(3)
Entry from Alexandria via LeMat-Bulk: a relaxed Mn2ZnPt3 crystal (PBE).

a = 2.889 Å, b = 2.889 Å, c = 10.698 Å
α = 90.00°, β = 90.00°, γ = 90.00°
Last column: magnetic moment on the atom in μB.
Sites, in units of the cell vectors:
Pt 0.000 0.000 0.335  0.21
Pt 0.000 0.000 0.000  0.37
Pt 0.000 0.000 0.665  0.21
Mn 0.500 0.500 0.831  3.81
Mn 0.500 0.500 0.169  3.81
Zn 0.500 0.500 0.500  -0.01

Calculated values
- D(E_F) (states/eV/cell) = 2.33
- magnetization (μB per formula unit) = 8.7
- formation energy from the elements (meV/atom) = -437
- symmetry = P4/mmm, No. 123

***

(4)
Entry from Alexandria via LeMat-Bulk: a relaxed MnZnPt5 crystal (PBE).

a = 3.907 Å, b = 3.907 Å, c = 7.371 Å
α = 90.00°, β = 90.00°, γ = 90.00°
Last column: magnetic moment on the atom in μB.
Sites, in units of the cell vectors:
Pt 0.500 0.000 0.234  0.02
Pt 0.000 0.500 0.234  0.02
Pt 0.000 0.500 0.766  0.02
Pt 0.500 0.500 0.500  0.02
Pt 0.500 0.000 0.766  0.02
Zn 0.500 0.500 0.000  -0.02
Mn 0.000 0.000 0.500  3.62

Calculated values
- D(E_F) (states/eV/cell) = 8.92
- magnetization (μB per formula unit) = 3.7
- formation energy from the elements (meV/atom) = -227
- symmetry = P4/mmm, No. 123

***

(5)
Entry from Alexandria via LeMat-Bulk: a relaxed MnZn3Pt12 crystal (PBE).

a = 3.930 Å, b = 3.930 Å, c = 15.701 Å
α = 90.00°, β = 90.00°, γ = 90.00°
Last column: magnetic moment on the atom in μB.
Sites, in units of the cell vectors:
Zn 0.000 0.000 0.500  0.00
Zn 0.000 0.000 0.749  -0.01
Zn 0.000 0.000 0.251  -0.01
Pt 0.500 0.000 0.625  -0.01
Pt 0.500 0.500 0.000  0.11
Pt 0.000 0.500 0.124  0.06
Pt 0.500 0.500 0.500  -0.02
Pt 0.000 0.500 0.375  -0.01
Pt 0.000 0.500 0.625  -0.01
Pt 0.500 0.500 0.751  0.00
Pt 0.500 0.500 0.249  0.00
Pt 0.500 0.000 0.124  0.06
Pt 0.000 0.500 0.876  0.06
Pt 0.500 0.000 0.876  0.06
Pt 0.500 0.000 0.375  -0.01
Mn 0.000 0.000 0.000  3.69

Calculated values
- D(E_F) (states/eV/cell) = 13.67
- magnetization (μB per formula unit) = 4.0
- formation energy from the elements (meV/atom) = -347
- symmetry = P4/mmm, No. 123

***

(6)
Entry from Alexandria via LeMat-Bulk: a relaxed MnZnPt crystal (PBE).

a = 4.304 Å, b = 4.304 Å, c = 2.786 Å
α = 90.00°, β = 90.00°, γ = 120.00°
Last column: magnetic moment on the atom in μB.
Sites, in units of the cell vectors:
Zn 0.667 0.333 0.611  -0.03
Mn 0.000 0.000 0.998  3.71
Pt 0.333 0.667 0.391  0.19

Calculated values
- D(E_F) (states/eV/cell) = 1.46
- magnetization (μB per formula unit) = 4.0
- formation energy from the elements (meV/atom) = -269
- symmetry = P3m1, No. 156

***

(7)
Entry from Alexandria via LeMat-Bulk: a relaxed MnZn4Pt crystal (PBE).

a = 4.233 Å, b = 5.383 Å, c = 8.080 Å
α = 69.32°, β = 90.00°, γ = 89.99°
Last column: magnetic moment on the atom in μB.
Sites, in units of the cell vectors:
Pt 0.250 0.874 0.764  0.09
Pt 0.750 0.126 0.236  0.09
Zn 0.250 0.958 0.087  -0.04
Zn 0.750 0.273 0.584  -0.03
Zn 0.250 0.466 0.091  -0.04
Zn 0.750 0.042 0.913  -0.04
Zn 0.250 0.727 0.416  -0.03
Zn 0.750 0.778 0.576  -0.02
Zn 0.750 0.534 0.909  -0.04
Zn 0.250 0.222 0.424  -0.02
Mn 0.250 0.384 0.747  3.42
Mn 0.750 0.616 0.253  3.42

Calculated values
- distance to the lowest polymorph of the same formula (eV/f.u.) = 0.000
- D(E_F) (states/eV/cell) = 3.40
- magnetization (μB per formula unit) = 3.5
- formation energy from the elements (meV/atom) = -206
- symmetry = P2_1/m, No. 11

***

(8)
Entry from Alexandria via LeMat-Bulk: a relaxed MnZnPt crystal (PBE).

a = 5.581 Å, b = 5.581 Å, c = 2.920 Å
α = 74.83°, β = 74.83°, γ = 30.33°
Last column: magnetic moment on the atom in μB.
Sites, in units of the cell vectors:
Pt 0.333 0.333 0.667  0.18
Mn 0.999 0.999 0.001  3.63
Zn 0.668 0.668 0.332  -0.04

Calculated values
- D(E_F) (states/eV/cell) = 1.34
- magnetization (μB per formula unit) = 3.9
- formation energy from the elements (meV/atom) = -266
- symmetry = I4mm, No. 107

***

(9)
Entry from Alexandria via LeMat-Bulk: a relaxed MnZn5Pt4 crystal (PBE).

a = 3.175 Å, b = 3.175 Å, c = 14.390 Å
α = 90.00°, β = 90.00°, γ = 90.00°
Last column: magnetic moment on the atom in μB.
Sites, in units of the cell vectors:
Pt 0.000 0.000 0.807  0.01
Pt 0.000 0.000 0.398  -0.01
Pt 0.000 0.000 0.602  -0.01
Pt 0.000 0.000 0.193  0.01
Zn 0.500 0.500 0.297  0.00
Zn 0.500 0.500 0.097  -0.03
Zn 0.500 0.500 0.903  -0.03
Zn 0.500 0.500 0.500  0.00
Zn 0.500 0.500 0.703  0.00
Mn 0.000 0.000 0.000  3.30

Calculated values
- D(E_F) (states/eV/cell) = 4.43
- magnetization (μB per formula unit) = 3.3
- formation energy from the elements (meV/atom) = -417
- symmetry = P4/mmm, No. 123

***

(10)
Entry from Alexandria via LeMat-Bulk: a relaxed Mn2Zn2Pt3 crystal (PBE).

a = 4.349 Å, b = 4.345 Å, c = 7.304 Å
α = 89.90°, β = 107.73°, γ = 119.82°
Last column: magnetic moment on the atom in μB.
Sites, in units of the cell vectors:
Zn 0.259 0.130 0.388  -0.02
Zn 0.741 0.870 0.612  -0.02
Mn 0.228 0.614 0.843  3.69
Mn 0.772 0.386 0.157  3.69
Pt 0.493 0.746 0.239  0.14
Pt 0.507 0.254 0.761  0.14
Pt 0.000 0.000 0.000  0.20

Calculated values
- D(E_F) (states/eV/cell) = 3.13
- magnetization (μB per formula unit) = 8.1
- formation energy from the elements (meV/atom) = -359
- symmetry = P-1, No. 2

***

(11)
Entry from Alexandria via LeMat-Bulk: a relaxed MnZnPt crystal (PBE).

a = 4.734 Å, b = 4.734 Å, c = 4.734 Å
α = 144.68°, β = 133.59°, γ = 59.64°
Last column: magnetic moment on the atom in μB.
Sites, in units of the cell vectors:
Mn 0.999 0.999 0.000  3.69
Pt 0.334 0.334 0.000  0.22
Zn 0.668 0.668 0.000  -0.03

Calculated values
- D(E_F) (states/eV/cell) = 0.91
- magnetization (μB per formula unit) = 4.0
- formation energy from the elements (meV/atom) = -348
- symmetry = Imm2, No. 44